Entry from the Alexandria database: a crystal of NaAgTe2N relaxed with PBEsol (meta-GGA SCAN).

```
data_NaAgTe2N
_chemical_formula_sum 'Na1 Ag1 Te2 N1'
_space_group_name_H-M_alt 'P 4/m m m'
_space_group_IT_number 123
_space_group_name_Hall '-P 4 2'
_cell_length_a 5.466
_cell_length_b 5.466
_cell_length_c 4.200
_cell_angle_alpha 90.00
_cell_angle_beta 90.00
_cell_angle_gamma 90.00
loop_
_atom_site_label
_atom_site_type_symbol
_atom_site_fract_x
_atom_site_fract_y
_atom_site_fract_z
Na1 Na 0.000 0.000 0.000
Ag1 Ag 0.500 0.500 0.500
Te1 Te 0.000 0.500 0.000
N1 N 0.000 0.000 0.500
```

Summary:
VASP energy ... -22.729 eV/atom
E_form (uncorrected) ... 1146 meV/atom
Fermi-level density of states ... 3.16 states/eV/f.u.